(1)
An optimized crystal structure of Rb2PIrO, computed with GGA-PBE.

Summary:
N(E_F)   0.76 states/eV per atom

Cell and atoms, written as POSCAR:
```
Rb2PIrO
1.0
6.2167 0.0000 0.0000
0.0000 3.4702 0.0000
0.0000 0.0000 6.2167
Rb P O Ir
2 1 1 1
direct
0.0000 0.0000 0.5000 Rb
0.5000 0.0000 0.0000 Rb
0.0000 0.5000 0.0000 P
0.0000 0.0000 0.0000 O
0.5000 0.5000 0.5000 Ir
```

---

(2)
An optimized crystal structure of RbPIrO2, computed with GGA-PBE.

Summary:
N(E_F)   1.16 states/eV per atom

Cell and atoms, written as POSCAR:
```
RbPIrO2
1.0
3.8477 0.0000 0.0000
0.0000 3.8477 0.0000
0.0000 0.0000 8.0406
Ir P O Rb
1 1 2 1
direct
0.5000 0.5000 0.5000 Ir
0.0000 0.0000 0.5000 P
0.5000 0.0000 0.0000 O
0.0000 0.5000 0.0000 O
0.0000 0.0000 0.0000 Rb
```

---

(3)
An optimized crystal structure of RbPIrO2, computed with GGA-PBE.

Summary:
N(E_F)   0.95 states/eV per atom

Cell and atoms, written as POSCAR:
```
RbPIrO2
1.0
-3.6925 -1.4839 1.4742
2.0465 -1.9445 3.1687
-0.4643 3.7226 2.5842
O P Rb Ir
2 1 1 1
direct
0.5000 0.0000 0.0000 O
0.0000 0.5000 0.0000 O
0.0000 0.0000 0.5000 P
0.5000 0.5000 0.5000 Rb
0.0000 0.0000 0.0000 Ir
```

---

(4)
An optimized crystal structure of RbP2IrO, computed with GGA-PBE.

Summary:
N(E_F)   1.78 states/eV per atom

Cell and atoms, written as POSCAR:
```
RbP2IrO
1.0
-5.3386 1.3425 3.5689
3.1674 -0.7413 5.0169
1.5689 6.3700 -0.0493
Ir Rb P O
1 1 2 1
direct
0.0000 0.5000 0.0000 Ir
0.0000 0.0000 0.0000 Rb
0.0000 0.0000 0.5000 P
0.5000 0.0000 0.0000 P
0.5000 0.5000 0.5000 O
```

---

(5)
An optimized crystal structure of RbP2IrO8, computed with GGA-PBE.

Summary:
N(E_F)   0.32 states/eV per atom

Cell and atoms, written as POSCAR:
```
RbP2IrO8
1.0
-3.9582 -1.1982 -3.1421
-4.1576 -2.4747 1.8885
-6.4402 6.4173 1.3731
Ir O Rb P
1 8 1 2
direct
0.5000 0.5000 0.5000 Ir
0.8881 0.3745 0.3629 O
0.3745 0.3745 0.3629 O
0.7100 0.7100 0.8699 O
0.1119 0.6255 0.6371 O
0.2900 0.2900 0.1301 O
0.3745 0.8881 0.3629 O
0.6255 0.1119 0.6371 O
0.6255 0.6255 0.6371 O
0.0000 0.0000 0.0000 Rb
0.2324 0.2324 0.3027 P
0.7676 0.7676 0.6973 P
```

---

(6)
An optimized crystal structure of RbP2IrO, computed with GGA-PBE.

Summary:
N(E_F)   1.17 states/eV per atom

Cell and atoms, written as POSCAR:
```
RbP2IrO
1.0
5.1306 0.0000 0.0000
0.0000 5.1306 0.0000
0.0000 0.0000 3.9457
Ir Rb O P
1 1 1 2
direct
0.5000 0.5000 0.5000 Ir
0.0000 0.0000 0.0000 Rb
0.0000 0.0000 0.5000 O
0.5000 0.0000 0.0000 P
0.0000 0.5000 0.0000 P
```

---

(7)
An optimized crystal structure of RbP2IrO, computed with GGA-PBE.

Summary:
N(E_F)   1.31 states/eV per atom

Cell and atoms, written as POSCAR:
```
RbP2IrO
1.0
-2.3540 -3.8122 -0.6745
2.5000 -0.8941 -3.6715
3.2260 -2.4879 2.8025
P Ir O Rb
2 1 1 1
direct
0.5000 0.0000 0.0000 P
0.0000 0.5000 0.0000 P
0.0000 0.0000 0.0000 Ir
0.0000 0.0000 0.5000 O
0.5000 0.5000 0.5000 Rb
```

---

(8)
An optimized crystal structure of ReP2IrO, computed with GGA-PBE.

Summary:
N(E_F)   0.58 states/eV per atom

Cell and atoms, written as POSCAR:
```
ReP2IrO
1.0
-1.6619 -3.4903 2.7571
-0.4712 -2.7886 -3.8141
3.3663 -1.2243 0.4792
Ir P O Re
1 2 1 1
direct
0.0000 0.0000 0.0000 Ir
0.5000 0.0000 0.0000 P
0.0000 0.5000 0.0000 P
0.0000 0.0000 0.5000 O
0.5000 0.5000 0.5000 Re
```

---

(9)
An optimized crystal structure of ReP2IrO, computed with GGA-PBE.

Summary:
N(E_F)   1.14 states/eV per atom

Cell and atoms, written as POSCAR:
```
ReP2IrO
1.0
-2.3027 -2.5211 3.2548
-1.1387 -3.1938 -3.2795
3.0400 -1.8338 0.7304
P Ir O Re
2 1 1 1
direct
0.5000 0.0000 0.0000 P
0.0000 0.5000 0.0000 P
0.5000 0.5000 0.5000 Ir
0.0000 0.0000 0.5000 O
0.0000 0.0000 0.0000 Re
```

---

(10)
An optimized crystal structure of P2IrRhO, computed with GGA-PBE.

Summary:
N(E_F)   0.59 states/eV per atom

Cell and atoms, written as POSCAR:
```
P2IrRhO
1.0
-0.3788 -0.0639 -4.6647
-0.7741 -4.6143 0.1261
-3.5216 0.5983 0.2778
Rh O P Ir
1 1 2 1
direct
0.0000 0.0000 0.0000 Rh
0.0000 0.0000 0.5000 O
0.0000 0.5000 0.0000 P
0.5000 0.0000 0.0000 P
0.5000 0.5000 0.5000 Ir
```

---

(11)
An optimized crystal structure of P2IrRhO, computed with GGA-PBE.

Summary:
N(E_F)   0.65 states/eV per atom

Cell and atoms, written as POSCAR:
```
P2IrRhO
1.0
-0.0012 1.1430 4.5884
-0.7924 -4.5236 1.1267
3.5682 -0.5883 0.1475
O P Rh Ir
1 2 1 1
direct
0.0000 0.0000 0.5000 O
0.0000 0.5000 0.0000 P
0.5000 0.0000 0.0000 P
0.5000 0.5000 0.5000 Rh
0.0000 0.0000 0.0000 Ir
```

---

(12)
An optimized crystal structure of PIrRuO2, computed with GGA-PBE.

Summary:
N(E_F)   0.64 states/eV per atom

Cell and atoms, written as POSCAR:
```
PIrRuO2
1.0
3.6634 0.0000 0.0000
0.0000 3.6634 0.0000
0.0000 0.0000 5.7710
Ir O P Ru
1 2 1 1
direct
0.0000 0.0000 0.0000 Ir
0.5000 0.0000 0.0000 O
0.0000 0.5000 0.0000 O
0.0000 0.0000 0.5000 P
0.5000 0.5000 0.5000 Ru
```

---

(13)
An optimized crystal structure of PIrRuO2, computed with GGA-PBE.

Summary:
N(E_F)   1.18 states/eV per atom

Cell and atoms, written as POSCAR:
```
PIrRuO2
1.0
3.6157 0.0000 0.0000
0.0000 3.6157 0.0000
0.0000 0.0000 5.8119
P O Ir Ru
1 2 1 1
direct
0.0000 0.0000 0.5000 P
0.0000 0.5000 0.0000 O
0.5000 0.0000 0.0000 O
0.5000 0.5000 0.5000 Ir
0.0000 0.0000 0.0000 Ru
```

---

(14)
An optimized crystal structure of PIrSO, computed with GGA-PBE.

Summary:
N(E_F)   0.01 states/eV per atom

Cell and atoms, written as POSCAR:
```
PIrSO
1.0
-3.5130 2.2410 -2.3704
-2.3977 -2.1697 1.5022
1.4461 3.0462 6.7077
P O S Ir
2 2 2 2
direct
0.4343 0.0000 0.7253 P
0.4343 0.5000 0.2253 P
0.3635 0.0000 0.9104 O
0.3635 0.5000 0.4104 O
0.9496 0.5000 0.0354 S
0.9496 0.0000 0.5354 S
0.6960 0.0000 0.1840 Ir
0.6960 0.5000 0.6840 Ir
```

---

(15)
An optimized crystal structure of PIrSO, computed with GGA-PBE.

Cell and atoms, written as POSCAR:
```
PIrSO
1.0
3.5299 0.0064 0.0053
1.6844 3.6226 -0.0002
1.3477 0.0431 4.7409
Ir S O P
1 1 1 1
direct
0.6633 0.8036 0.5323 Ir
0.4301 0.2035 0.8985 S
0.1608 0.6065 0.7885 O
0.0769 0.1370 0.3372 P
```

---

(16)
An optimized crystal structure of PIrSO, computed with GGA-PBE.

Summary:
N(E_F)   0.35 states/eV per atom

Cell and atoms, written as POSCAR:
```
PIrSO
1.0
-0.3678 -0.4841 -6.6244
-2.2327 -2.1948 0.2844
-4.3201 5.0407 4.9869
Ir S P O
2 2 2 2
direct
0.1889 0.0000 0.3932 Ir
0.1889 0.5000 0.8932 Ir
0.9157 0.5000 0.1517 S
0.9157 0.0000 0.6517 S
0.4605 0.0000 0.9039 P
0.4605 0.5000 0.4039 P
0.4504 0.0000 0.7125 O
0.4504 0.5000 0.2125 O
```

---

(17)
An optimized crystal structure of PIrSO, computed with GGA-PBE.

Summary:
N(E_F)   0.11 states/eV per atom

Cell and atoms, written as POSCAR:
```
PIrSO
1.0
-0.4320 0.2443 -3.3182
0.7440 -4.4746 -0.2178
-4.1370 1.1086 1.8597
P Ir O S
1 1 1 1
direct
0.3011 0.1659 0.0151 P
0.9408 0.2519 0.3812 Ir
0.2880 0.4364 0.8813 O
0.9136 0.8074 0.5206 S
```

---

(18)
An optimized crystal structure of PIrSO, computed with GGA-PBE.

Summary:
N(E_F)   0.02 states/eV per atom

Cell and atoms, written as POSCAR:
```
PIrSO
1.0
-0.2270 5.7235 3.4660
-2.3529 -0.9504 1.4154
4.0070 -3.2998 4.4453
S P O Ir
2 2 2 2
direct
0.0793 0.5000 0.3189 S
0.0793 0.0000 0.8189 S
0.4825 0.5000 0.9480 P
0.4825 0.0000 0.4480 P
0.7057 0.0000 0.4712 O
0.7057 0.5000 0.9712 O
0.2890 0.5000 0.6493 Ir
0.2890 0.0000 0.1493 Ir
```

---

(19)
An optimized crystal structure of PIrSO, computed with GGA-PBE.

Cell and atoms, written as POSCAR:
```
PIrSO
1.0
2.7042 0.0028 0.0004
-0.9744 3.5006 0.0005
-1.1430 -1.2100 7.3086
Ir P O S
1 1 1 1
direct
0.1792 0.4013 0.6931 Ir
0.9509 0.8191 0.5040 P
0.3863 0.7894 0.3590 O
0.6200 0.0791 0.8874 S
```

---

(20)
An optimized crystal structure of PIrSO, computed with GGA-PBE.

Summary:
N(E_F)   0.25 states/eV per atom

Cell and atoms, written as POSCAR:
```
PIrSO
1.0
6.9845 0.0000 -0.0265
0.0000 4.1723 0.0000
-0.3383 0.0000 5.7551
Ir S O P
2 2 2 2
direct
0.2270 0.0000 0.2088 Ir
0.2270 0.5000 0.7088 Ir
0.1275 0.0000 0.8252 S
0.1275 0.5000 0.3252 S
0.6583 0.0000 0.4211 O
0.6583 0.5000 0.9211 O
0.5437 0.5000 0.6904 P
0.5437 0.0000 0.1904 P
```

---

Values for ΔE_f (raw), kJ per mole of atoms, ordered as above
30.8 170.7 -7.1 283.2 -159.9 223.5 22.3 79.3 35.9 57.2 39.7 20.8 8.7 -70.5 -27.4 -39.6 -62.3 -62.5 -62.9 -42.0